Below is an optimized crystal structure of ZnCoSiW, with properties calculated at the PBE level.

Cell: 4.1976 4.1976 4.1976 Å, 60.00 60.00 60.00°
Closest atoms and distances in Å follow each position.
Fractional coordinates of all 4 atoms:
1 W 0.2500 0.2500 0.2500  4 Zn 2.57, 4 Si 2.57
2 Zn 0.5000 0.5000 0.5000  4 W 2.57, 4 Co 2.57
3 Si 0.0000 0.0000 0.0000  4 Co 2.57, 4 W 2.57
4 Co 0.7500 0.7500 0.7500  4 Si 2.57, 4 Zn 2.57

* V: 52.3 Å³/f.u.
* final energy: -0.239 Ha/atom
* relative energy among the computed polymorphs: 0 meV/atom


Below is an optimized crystal structure of ZrCoSiW, with properties calculated at the PBE level.

Cell: 4.3911 4.3911 4.3911 Å, 60.00 60.00 60.00°
Closest atoms and distances in Å follow each position.
Fractional coordinates of all 4 atoms:
1 Si 0.0000 0.0000 0.0000  4 W 2.69, 4 Co 2.69
2 Co 0.7500 0.7500 0.7500  4 Si 2.69, 4 Zr 2.69
3 W 0.2500 0.2500 0.2500  4 Si 2.69, 4 Zr 2.69
4 Zr 0.5000 0.5000 0.5000  4 W 2.69, 4 Co 2.69

* V: 59.9 Å³/f.u.
* final energy: -0.310 Ha/atom
* relative energy among the computed polymorphs: 0 meV/atom


Below is an optimized crystal structure of YCo2Si2, with properties calculated at the PBE level.

Cell: 3.8699 3.8699 5.5831 Å, 110.28 110.28 90.00°
Closest atoms and distances in Å follow each position.
Fractional coordinates of all 5 atoms:
1 Co 0.2500 0.7500 0.5000  4 Si 2.27
2 Co 0.7500 0.2500 0.5000  4 Si 2.27
3 Si 0.3725 0.3725 0.7451  4 Co 2.27, 1 Si 2.48
4 Si 0.6275 0.6275 0.2549  4 Co 2.27, 1 Si 2.48
5 Y 0.0000 0.0000 0.0000  8 Si 3.00, 8 Co 3.11

* V: 72.9 Å³/f.u.
* final energy: -0.262 Ha/atom


Below is an optimized crystal structure of Y3CoSi3, with properties calculated at the PBE level.

Cell: 5.6551 5.6551 13.4989 Å, 109.49 109.49 43.28°
Closest atoms and distances in Å follow each position.
Fractional coordinates of all 14 atoms:
1 Y 0.6015 0.6015 0.4197  7 Si 2.94-3.09
2 Y 0.5237 0.5237 0.8796  6 Si 2.88-3.12, 4 Co 2.93-3.14
3 Co 0.7539 0.7539 0.0825  4 Si 2.34-2.51
4 Y 0.3985 0.3985 0.5803  7 Si 2.94-3.09
5 Y 0.4763 0.4763 0.1204  6 Si 2.88-3.12, 4 Co 2.93-3.14
6 Si 0.0523 0.0523 0.7419  1 Co 2.51, 1 Si 2.54
7 Co 0.2461 0.2461 0.9175  4 Si 2.34-2.51
8 Si 0.1419 0.1419 0.0443  3 Co 2.34-2.36
9 Si 0.8863 0.8863 0.4235  2 Si 2.54
10 Y 0.7462 0.7462 0.7290  6 Si 2.86-3.16
11 Si 0.9477 0.9477 0.2581  1 Co 2.51, 1 Si 2.54
12 Y 0.2538 0.2538 0.2710  6 Si 2.86-3.16
13 Si 0.8581 0.8581 0.9557  3 Co 2.34-2.36
14 Si 0.1137 0.1137 0.5765  2 Si 2.54

* V: 138.1 Å³/f.u.
* final energy: -0.254 Ha/atom


Below is an optimized crystal structure of YCoSi2, with properties calculated at the PBE level.

Cell: 4.4928 4.4928 4.4928 Å, 60.00 60.00 60.00°
Closest atoms and distances in Å follow each position.
Fractional coordinates of all 4 atoms:
1 Y 0.5000 0.5000 0.5000  4 Co 2.75, 4 Si 2.75
2 Si 0.0000 0.0000 0.0000  4 Si 2.75, 4 Co 2.75
3 Si 0.7500 0.7500 0.7500  4 Si 2.75, 4 Y 2.75
4 Co 0.2500 0.2500 0.2500  4 Si 2.75, 4 Y 2.75

* V: 64.1 Å³/f.u.
* final energy: -0.225 Ha/atom


Below is an optimized crystal structure of YCoSi2, with properties calculated at the PBE level.

Cell: 3.9826 4.0254 8.3402 Å, 76.04 90.00 90.00°
Closest atoms and distances in Å follow each position.
Fractional coordinates of all 8 atoms:
1 Si 0.2500 0.5427 0.9147  1 Co 2.22, 2 Si 2.42
2 Y 0.2500 0.8930 0.2140  10 Si 3.02-3.15, 4 Co 3.07
3 Y 0.7500 0.1070 0.7860  10 Si 3.02-3.15, 4 Co 3.07
4 Co 0.2500 0.6796 0.6409  5 Si 2.22-2.31
5 Si 0.2500 0.2498 0.5005  4 Co 2.30-2.31
6 Co 0.7500 0.3204 0.3591  5 Si 2.22-2.31
7 Si 0.7500 0.4573 0.0853  1 Co 2.22, 2 Si 2.42
8 Si 0.7500 0.7502 0.4995  4 Co 2.30-2.31

* V: 64.9 Å³/f.u.
* final energy: -0.253 Ha/atom


Below is an optimized crystal structure of Y2CoSi2, with properties calculated at the PBE level.

Cell: 7.5545 7.5545 3.7983 Å, 104.54 104.54 76.93°
Closest atoms and distances in Å follow each position.
Fractional coordinates of all 10 atoms:
1 Co 0.6037 0.6037 0.6023  1 Co 2.32, 4 Si 2.47, 1 Y 2.58
2 Si 0.5320 0.8213 0.1752  2 Co 2.47, 1 Si 2.72
3 Y 0.1660 0.1660 0.1670  1 Co 2.58
4 Si 0.4680 0.1787 0.8248  2 Co 2.47, 1 Si 2.72
5 Y 0.8340 0.8340 0.8330  1 Co 2.58
6 Si 0.8213 0.5320 0.1752  2 Co 2.47, 1 Si 2.72
7 Y 0.7650 0.2350 0.5000  2 Co 2.75, 4 Si 2.96-2.97
8 Co 0.3963 0.3963 0.3977  1 Co 2.32, 4 Si 2.47, 1 Y 2.58
9 Si 0.1787 0.4680 0.8248  2 Co 2.47, 1 Si 2.72
10 Y 0.2350 0.7650 0.5000  2 Co 2.75, 4 Si 2.96-2.97

* V: 100.0 Å³/f.u.
* final energy: -0.238 Ha/atom


Below is an optimized crystal structure of Y2CoSi2, with properties calculated at the PBE level.

Cell: 5.7389 5.7389 6.9382 Å, 102.73 102.73 107.91°
Closest atoms and distances in Å follow each position.
Fractional coordinates of all 10 atoms:
1 Si 0.8344 0.8344 0.6366  1 Si 2.38, 2 Co 2.59
2 Si 0.3577 0.3577 0.1378  1 Si 2.38, 2 Co 2.49
3 Si 0.6423 0.6423 0.8622  1 Si 2.38, 2 Co 2.49
4 Co 0.8826 0.1174 0.0000  1 Co 2.18
5 Co 0.1174 0.8826 0.0000  1 Co 2.18
6 Y 0.4282 0.0459 0.7531  2 Co 2.64-2.83
7 Y 0.5718 0.9541 0.2469  2 Co 2.64-2.83
8 Y 0.9541 0.5718 0.2469  2 Co 2.64-2.83
9 Si 0.1656 0.1656 0.3634  1 Si 2.38, 2 Co 2.59
10 Y 0.0459 0.4282 0.7531  2 Co 2.64-2.83

* V: 100.8 Å³/f.u.
* final energy: -0.240 Ha/atom


Below is an optimized crystal structure of YCo9Si2, with properties calculated at the PBE level.

Cell: 6.2567 7.4896 7.4896 Å, 100.05 65.31 114.69°
Closest atoms and distances in Å follow each position.
Fractional coordinates of all 24 atoms:
1 Y 0.8750 0.2500 0.7500  18 Co 3.01-3.13, 4 Si 3.36
2 Co 0.0599 0.9208 0.6677  2 Si 2.35-2.36, 7 Co 2.38-2.60
3 Co 0.3068 0.5792 0.8323  2 Si 2.35-2.36, 7 Co 2.38-2.60
4 Co 0.3750 0.2500 0.7500  4 Si 2.53, 8 Co 2.60
5 Co 0.6932 0.8323 0.5792  2 Si 2.35-2.36, 7 Co 2.38-2.60
6 Co 0.0599 0.3323 0.0792  2 Si 2.35-2.36, 7 Co 2.38-2.60
7 Si 0.0000 0.0000 0.0000  10 Co 2.35-2.53
8 Co 0.9401 0.0792 0.3323  2 Si 2.35-2.36, 7 Co 2.38-2.60
9 Co 0.7724 0.5792 0.6677  2 Si 2.35-2.36, 7 Co 2.38-2.60
10 Co 0.9401 0.6677 0.9208  2 Si 2.35-2.36, 7 Co 2.38-2.60
11 Co 0.6932 0.4208 0.1677  2 Si 2.35-2.36, 7 Co 2.38-2.60
12 Co 0.7724 0.3323 0.4208  2 Si 2.35-2.36, 7 Co 2.38-2.60
13 Co 0.6250 0.7500 0.2500  4 Si 2.53, 8 Co 2.60
14 Si 0.5000 0.5000 0.0000  10 Co 2.35-2.53
15 Y 0.1250 0.7500 0.2500  18 Co 3.01-3.13, 4 Si 3.36
16 Si 0.5000 0.5000 0.5000  10 Co 2.35-2.53
17 Co 0.3609 0.9208 0.8323  2 Si 2.35-2.36, 7 Co 2.38-2.60
18 Co 0.3068 0.1677 0.4208  2 Si 2.35-2.36, 7 Co 2.38-2.60
19 Co 0.2276 0.4208 0.3323  2 Si 2.35-2.36, 7 Co 2.38-2.60
20 Co 0.6391 0.0792 0.1677  2 Si 2.35-2.36, 7 Co 2.38-2.60
21 Co 0.6391 0.8323 0.9208  2 Si 2.35-2.36, 7 Co 2.38-2.60
22 Co 0.3609 0.1677 0.0792  2 Si 2.35-2.36, 7 Co 2.38-2.60
23 Si 0.5000 0.0000 0.5000  10 Co 2.35-2.53
24 Co 0.2276 0.6677 0.5792  2 Si 2.35-2.36, 7 Co 2.38-2.60

* V: 144.9 Å³/f.u.
* final energy: -0.259 Ha/atom


Below is an optimized crystal structure of Y2CoSi, with properties calculated at the PBE level.

Cell: 3.8972 5.6429 5.6429 Å, 42.76 90.00 90.00°
Closest atoms and distances in Å follow each position.
Fractional coordinates of all 4 atoms:
1 Y 0.5000 0.6387 0.6387  4 Co 2.93, 3 Si 2.95-3.13
2 Co 0.0000 0.0680 0.0680  2 Si 2.39
3 Si 0.5000 0.9369 0.9369  2 Co 2.39
4 Y 0.0000 0.3563 0.3563  4 Si 2.96, 3 Co 3.03

* V: 84.2 Å³/f.u.
* final energy: -0.254 Ha/atom


Below is an optimized crystal structure of Y2CoSi2, with properties calculated at the PBE level.

Cell: 6.7652 6.7652 5.6265 Å, 120.30 120.30 70.56°
Closest atoms and distances in Å follow each position.
Fractional coordinates of all 10 atoms:
1 Si 0.0664 0.0664 0.2827  3 Si 2.55-2.65, 1 Co 2.81
2 Si 0.7478 0.2522 0.5000  2 Co 2.36
3 Y 0.8781 0.4650 0.1448  5 Si 2.88-3.18, 2 Co 2.89-2.97, 3 Y 3.06-3.23
4 Y 0.5350 0.1219 0.8552  5 Si 2.88-3.18, 2 Co 2.89-2.97, 3 Y 3.06-3.23
5 Si 0.9336 0.9336 0.7173  3 Si 2.55-2.65, 1 Co 2.81
6 Y 0.4650 0.8781 0.1448  5 Si 2.88-3.18, 2 Co 2.89-2.97, 3 Y 3.06-3.23
7 Si 0.2522 0.7478 0.5000  2 Co 2.36
8 Co 0.6321 0.6321 0.5349  2 Si 2.36
9 Y 0.1219 0.5350 0.8552  5 Si 2.88-3.18, 2 Co 2.89-2.97, 3 Y 3.06-3.23
10 Co 0.3679 0.3679 0.4651  2 Si 2.36

* V: 95.4 Å³/f.u.
* final energy: -0.236 Ha/atom


Below is an optimized crystal structure of YZrCoSi, with properties calculated at the PBE level.

Cell: 4.6021 4.6021 4.6021 Å, 60.00 60.00 60.00°
Closest atoms and distances in Å follow each position.
Fractional coordinates of all 4 atoms:
1 Y 0.5000 0.5000 0.5000  4 Zr 2.82, 4 Co 2.82
2 Zr 0.2500 0.2500 0.2500  4 Y 2.82, 4 Si 2.82
3 Co 0.7500 0.7500 0.7500  4 Si 2.82, 4 Y 2.82
4 Si 0.0000 0.0000 0.0000  4 Co 2.82, 4 Zr 2.82

* V: 68.9 Å³/f.u.
* final energy: -0.250 Ha/atom
* relative energy among the computed polymorphs: 0 meV/atom


Below is an optimized crystal structure of ZnCoSi2, with properties calculated at the PBE level.

Cell: 4.1958 4.1958 4.1958 Å, 60.00 60.00 60.00°
Closest atoms and distances in Å follow each position.
Fractional coordinates of all 4 atoms:
1 Co 0.7500 0.7500 0.7500  4 Zn 2.57, 4 Si 2.57
2 Si 0.2500 0.2500 0.2500  4 Zn 2.57, 4 Si 2.57
3 Zn 0.5000 0.5000 0.5000  4 Co 2.57, 4 Si 2.57
4 Si 0.0000 0.0000 0.0000  4 Co 2.57, 4 Si 2.57

* V: 52.2 Å³/f.u.
* final energy: -0.166 Ha/atom